(1)
VASP calculation (GGA-PBE) on a geometry-optimized TaMn2Os structure.

POSCAR file:
```
TaMn2Os
1.0
3.0814 0.0000 0.0000
0.0000 3.0814 0.0000
0.0000 0.0000 5.9282
Ta Mn Os
1 2 1
Cartesian
0.0000 0.0000 0.0000
0.0000 0.0000 2.8225
1.5407 1.5407 1.5126
1.5407 1.5407 4.3208
```

Its magnetic moment is 0.750 μB/atom. The calculation puts the final energy at -41.64 eV for the cell shown. The relative energy among the computed polymorphs is 0.034 eV per atom.

***

(2)
VASP calculation (GGA-PBE) on a geometry-optimized Pm7CdSn2 structure.

POSCAR file:
```
Pm7CdSn2
1.0
5.3740 0.0000 0.0000
-2.6870 4.6540 0.0000
0.0000 0.0000 13.0630
Pm Cd Sn
7 1 2
Cartesian
0.0000 0.0000 0.0000
0.0000 0.0000 3.3664
0.0000 0.0000 6.8313
0.0000 3.1027 1.9029
0.0000 3.1027 8.7842
2.6870 1.5513 5.0529
2.6870 1.5513 11.0314
0.0000 3.1027 5.3303
0.0000 0.0000 9.9547
2.6870 1.5513 1.3660
```

Its magnetic moment is 0.029 μB/atom. The calculation puts the final energy at -44.72 eV for the cell shown.

***

(3)
VASP calculation (GGA-PBE) on a geometry-optimized Sm3Dy8Y4 structure.

POSCAR file:
```
Sm3Dy8Y4
1.0
6.7036 -6.3901 0.0000
6.7036 6.3901 0.0000
-3.4211 0.0000 5.8553
Sm Dy Y
3 8 4
Cartesian
0.0000 0.0000 0.0000
3.3518 3.1950 0.0000
3.3518 -3.1950 0.0000
4.9930 4.5808 2.9277
-0.2102 0.0000 5.6267
1.4550 0.0000 2.8598
6.7036 3.2553 0.0000
6.7036 -3.2553 0.0000
8.5310 0.0000 2.9955
10.1963 0.0000 0.2286
4.9930 -4.5808 2.9277
1.6412 3.1950 2.9277
1.6412 -3.1950 2.9277
6.7036 0.0000 0.0000
4.9930 0.0000 2.9277
```

Its magnetic moment is 0.000 μB/atom. The calculation puts the final energy at -70.98 eV for the cell shown.